Here is crystalline Na3HfZr at its relaxed geometry from Alexandria. Energies are from PBE-GGA.

Computed properties:
energy above the most stable polymorph in this dataset: 0 meV per atom
uncorrected energy: -2.62 eV/atom

Lattice parameters (Å, degrees): 5.445 5.445 5.445 90.00 90.00 90.00
Positions (direct):
Na 0.000 0.000 0.500
Na 0.000 0.500 0.000
Na 0.500 0.000 0.000
Hf 0.500 0.500 0.500
Zr 0.000 0.000 0.000

***

Here is crystalline NaHf2Zr2 at its relaxed geometry from Alexandria. Energies are from PBE-GGA.

Computed properties:
energy above the most stable polymorph in this dataset: 0 meV per atom
uncorrected energy: -7.25 eV/atom

Lattice parameters (Å, degrees): 8.838 8.838 3.228 90.00 90.00 90.00
Positions (direct):
Na 0.000 0.000 0.000
Na 0.500 0.500 0.000
Hf 0.119 0.381 0.000
Hf 0.381 0.881 0.000
Hf 0.619 0.119 0.000
Hf 0.881 0.619 0.000
Zr 0.172 0.672 0.500
Zr 0.328 0.172 0.500
Zr 0.672 0.828 0.500
Zr 0.828 0.328 0.500

***

Here is crystalline NaHf2Zr2 at its relaxed geometry from Alexandria. Energies are from PBE-GGA.

Computed properties:
energy above the most stable polymorph in this dataset: 30 meV per atom
uncorrected energy: -7.22 eV/atom

Lattice parameters (Å, degrees): 8.892 8.892 3.185 90.00 90.00 90.00
Positions (direct):
Na 0.000 0.000 0.000
Na 0.500 0.500 0.000
Hf 0.169 0.331 0.500
Hf 0.331 0.831 0.500
Hf 0.669 0.169 0.500
Hf 0.831 0.669 0.500
Zr 0.123 0.623 0.000
Zr 0.377 0.123 0.000
Zr 0.623 0.877 0.000
Zr 0.877 0.377 0.000

***

Here is crystalline NaHfZr3 at its relaxed geometry from Alexandria. Energies are from PBE-GGA.

Computed properties:
energy above the most stable polymorph in this dataset: 0 meV per atom
uncorrected energy: -6.32 eV/atom

Lattice parameters (Å, degrees): 5.291 5.291 5.291 90.00 90.00 90.00
Positions (direct):
Na 0.000 0.000 0.000
Hf 0.500 0.500 0.500
Zr 0.000 0.500 0.500
Zr 0.500 0.000 0.500
Zr 0.500 0.500 0.000

***

Here is crystalline HfNb at its relaxed geometry from Alexandria. Energies are from PBE-GGA.

Computed properties:
uncorrected energy: -9.99 eV/atom

Lattice parameters (Å, degrees): 5.652 5.652 5.652 144.73 128.52 63.95
Positions (direct):
Hf 0.366 0.116 0.250
Hf 0.634 0.884 0.750
Nb 0.106 0.356 0.750
Nb 0.894 0.644 0.250

***

Here is crystalline HfNb at its relaxed geometry from Alexandria. Energies are from PBE-GGA.

Computed properties:
uncorrected energy: -9.82 eV/atom

Lattice parameters (Å, degrees): 7.416 7.416 7.416 92.72 92.72 154.84
Positions (direct):
Hf 0.158 0.158 0.315
Hf 0.158 0.842 0.000
Hf 0.842 0.158 0.000
Hf 0.842 0.842 0.685
Nb 0.158 0.500 0.658
Nb 0.500 0.158 0.658
Nb 0.500 0.842 0.342
Nb 0.842 0.500 0.342

***

Here is crystalline Hf2Nb at its relaxed geometry from Alexandria. Energies are from PBE-GGA.

Computed properties:
energy above the most stable polymorph in this dataset: 558 meV per atom
uncorrected energy: -9.35 eV/atom

Lattice parameters (Å, degrees): 3.078 4.857 4.857 90.00 90.23 90.00
Positions (direct):
Hf 0.000 0.000 0.000
Hf 0.177 0.500 0.503
Nb 0.588 0.000 0.500

***

Here is crystalline HfNb2 at its relaxed geometry from Alexandria. Energies are from PBE-GGA.

Computed properties:
uncorrected energy: -10.02 eV/atom

Lattice parameters (Å, degrees): 5.658 5.658 5.658 145.21 145.21 50.02
Positions (direct):
Hf 0.000 0.000 0.000
Nb 0.319 0.319 0.000
Nb 0.681 0.681 0.000

***

Here is crystalline HfNb at its relaxed geometry from Alexandria. Energies are from PBE-GGA.

Computed properties:
uncorrected energy: -8.03 eV/atom

Lattice parameters (Å, degrees): 7.137 7.137 7.137 109.47 109.47 109.47
Positions (direct):
Hf 0.000 0.000 0.414
Hf 0.000 0.414 0.000
Hf 0.414 0.000 0.000
Hf 0.586 0.586 0.586
Nb 0.000 0.000 0.768
Nb 0.000 0.768 0.000
Nb 0.232 0.232 0.232
Nb 0.768 0.000 0.000

***

Here is crystalline HfNb at its relaxed geometry from Alexandria. Energies are from PBE-GGA.

Computed properties:
uncorrected energy: -9.90 eV/atom

Lattice parameters (Å, degrees): 2.975 2.975 4.798 90.00 90.00 110.09
Positions (direct):
Hf 0.000 0.000 0.000
Nb 0.500 0.500 0.500

***

| no. | E_form (eV/atom) |
| --- | --- |
| 1 | 1.869 |
| 2 | 0.411 |
| 3 | 0.441 |
| 4 | 1.064 |
| 5 | 0.024 |
| 6 | 0.193 |
| 7 | 0.645 |
| 8 | 0.009 |
| 9 | 1.983 |
| 10 | 0.107 |